The following is a DFT calculation (GGA+U) of crystalline CaTl2V3F12 at its relaxed geometry.

a b c (Å): 7.5515 7.5515 7.5515
angles (deg): 61.00 61.00 61.00
Last column: nearest neighbours and their distance in Å.
Fractional coordinates of all 18 atoms:
V1 0.0000 0.5000 0.0000  6 F 2.01
Tl1 0.3573 0.3573 0.3573  3 F 2.82
F1 0.3652 0.9040 0.9040  1 V 2.01
V2 0.0000 0.0000 0.5000  6 F 2.01
F2 0.0960 0.6348 0.0960  1 V 2.01
F3 0.6348 0.0960 0.0960  1 V 2.01
F4 0.3005 0.9191 0.3005  2 V 2.01
Tl2 0.6427 0.6427 0.6427  3 F 2.82
F5 0.6995 0.0809 0.6995  2 V 2.01
F6 0.9191 0.3005 0.3005  2 V 2.01
Ca1 0.0000 0.0000 0.0000  6 F 2.30
F7 0.0809 0.6995 0.6995  2 V 2.01
F8 0.9040 0.3652 0.9040  1 V 2.01
F9 0.3005 0.3005 0.9191  2 V 2.01
F10 0.9040 0.9040 0.3652  1 V 2.01
F11 0.0960 0.0960 0.6348  1 V 2.01
V3 0.5000 0.0000 0.0000  6 F 2.01
F12 0.6995 0.6995 0.0809  2 V 2.01

Results
theoretical density = 4.42 g/cm³
space-group type = No. 166
electronic total energy = -101.904 eV/f.u.
M_tot = 7.00 Bohr magnetons per cell